# Nd4Ge2Sb, relaxed, DFT PBE
data_Nd4Ge2Sb
_chemical_formula_sum 'Nd16 Ge8 Sb4'
_cell_length_a 9.3423
_cell_length_b 9.3423
_cell_length_c 9.2088
_cell_angle_alpha 90.00
_cell_angle_beta 90.00
_cell_angle_gamma 90.00
_space_group_name_H-M_alt 'I -4 2 d'
_space_group_IT_number 122
_space_group_name_Hall 'I -4 2bw'
loop_
_atom_site_label
_atom_site_type_symbol
_atom_site_fract_x
_atom_site_fract_y
_atom_site_fract_z
Nd1 Nd 0.0680 0.6772 0.4356
Ge1 Ge 0.1295 0.7500 0.1250
Sb1 Sb 0.0000 0.0000 0.5000
# Formation energy (no corrections): -602.4 kJ/mol of formula units
# Raw total energy: -154.69 eV per cell
# Total moment: 0.0 μB per formula unit
# E above lowest polymorph: 0.000 eV/atom